[1]
Density functional theory data (PBE-GGA) for a geometry-optimized PuMnGaIr structure.

Geometry as extended XYZ:
```
4
Lattice="-2.790 3.199 -1.696 -2.305 -0.794 -3.867 -4.528 -0.617 0.124" Properties=species:S:1:pos:R:3 pbc="T T T"
Mn -2.406 0.447 -1.360
Ir -7.218 1.341 -4.079
Ga 0.000 0.000 0.000
Pu -4.812 0.894 -2.720
```

Output
Energy of formation, eV/atom: -0.30
Final energy, eV/cell: -36.6
Space group: F-43m (216)

[2]
Density functional theory data (PBE-GGA) for a geometry-optimized MnGa2IrRh structure.

Geometry as extended XYZ:
```
5
Lattice="-0.887 -3.173 2.972 3.785 -1.864 -0.860 1.920 2.436 3.173" Properties=species:S:1:pos:R:3 pbc="T T T"
Mn 0.000 0.000 0.000
Ir 2.409 -1.301 2.643
Rh 1.893 -0.932 -0.430
Ga 0.960 1.218 1.587
Ga -0.444 -1.587 1.486
```

Output
Energy of formation, eV/atom: 0.88
Final energy, eV/cell: -27.1
Space group: P4/mmm (123)

[3]
Density functional theory data (PBE-GGA) for a geometry-optimized Mn2GaIrS structure.

Geometry as extended XYZ:
```
5
Lattice="4.888 0.000 0.000 0.000 4.697 0.000 0.000 0.000 4.888" Properties=species:S:1:pos:R:3 pbc="T T T"
Mn 0.000 0.000 2.444
Mn 2.444 0.000 0.000
S 2.444 2.349 2.444
Ir 0.000 0.000 0.000
Ga 0.000 2.349 0.000
```

Output
Final energy, eV/cell: -31.6
Space group: P4/mmm (123)
Formation energy without anion corrections, meV/atom: 557

[4]
Density functional theory data (PBE-GGA) for a geometry-optimized MnGaSiIr structure.

Geometry as extended XYZ:
```
4
Lattice="-4.092 -0.240 -0.757 -1.362 -0.839 -3.849 -1.753 -3.689 -0.833" Properties=species:S:1:pos:R:3 pbc="T T T"
Mn -1.801 -1.192 -1.360
Si 0.000 0.000 0.000
Ir -5.404 -3.575 -4.079
Ga -3.603 -2.384 -2.719
```

Output
Final energy, eV/cell: -27.6
Space group: F-43m (216)
Formation energy without anion corrections, meV/atom: -287

[5]
Density functional theory data (PBE-GGA) for a geometry-optimized Sm2MnGa3Ir4 structure.

Geometry as extended XYZ:
```
10
Lattice="-4.004 -1.141 -0.283 1.174 -3.943 -0.699 -0.194 -1.916 10.476" Properties=species:S:1:pos:R:3 pbc="T T T"
Sm -2.049 -1.031 2.378
Sm 0.439 -3.427 7.607
Mn -1.513 -3.500 4.747
Ga -0.097 -0.958 5.238
Ga -2.172 -2.240 8.989
Ga 0.562 -2.218 0.996
Ir -1.415 -2.542 -0.491
Ir 0.000 0.000 0.000
Ir -2.126 -1.794 6.551
Ir 0.517 -2.664 3.434
```

Output
Energy of formation, eV/atom: -0.62
Final energy, eV/cell: -69.3
Space group: P-4m2 (115)

[6]
Density functional theory data (PBE-GGA) for a geometry-optimized Tb2MnGa4Ir3 structure.

Geometry as extended XYZ:
```
10
Lattice="4.012 0.000 0.000 0.000 4.012 0.000 0.000 0.000 11.264" Properties=species:S:1:pos:R:3 pbc="T T T"
Tb 2.006 0.000 2.802
Tb 0.000 2.006 8.462
Mn 2.006 2.006 5.632
Ga 2.006 2.006 0.000
Ga 0.000 0.000 0.000
Ga 2.006 0.000 7.174
Ga 0.000 2.006 4.090
Ir 0.000 0.000 5.632
Ir 2.006 0.000 9.683
Ir 0.000 2.006 1.581
```

Output
Energy of formation, eV/atom: -0.62
Final energy, eV/cell: -63.4
Space group: P-4m2 (115)

[7]
Density functional theory data (PBE-GGA) for a geometry-optimized Mn2V2GaIr5 structure.

Geometry as extended XYZ:
```
20
Lattice="3.833 0.000 0.000 0.000 8.862 0.000 0.000 0.000 8.862" Properties=species:S:1:pos:R:3 pbc="T T T"
Mn 0.000 5.890 1.459
Mn 0.000 2.972 7.403
Mn 0.000 1.459 2.972
Mn 0.000 7.403 5.890
V 0.000 1.175 5.606
V 0.000 7.686 3.256
V 0.000 5.606 7.686
V 0.000 3.256 1.175
Ga 0.000 0.000 0.000
Ga 0.000 4.431 4.431
Ir 1.916 1.748 0.693
Ir 1.916 7.114 8.169
Ir 1.916 0.693 7.114
Ir 1.916 6.179 3.738
Ir 1.916 8.169 1.748
Ir 1.916 2.683 5.123
Ir 1.916 5.123 6.179
Ir 1.916 3.738 2.683
Ir 1.916 4.431 0.000
Ir 1.916 0.000 4.431
```

Output
Energy of formation, eV/atom: -0.09
Final energy, eV/cell: -169.5
Space group: P4/mbm (127)

[8]
Density functional theory data (PBE-GGA) for a geometry-optimized MnGaIrW structure.

Geometry as extended XYZ:
```
4
Lattice="-3.793 -1.993 -0.536 -2.360 -1.111 3.441 -3.679 2.091 0.862" Properties=species:S:1:pos:R:3 pbc="T T T"
Mn -4.916 -0.507 1.883
Ir -2.458 -0.253 0.942
Ga 0.000 0.000 0.000
W -7.374 -0.760 2.825
```

Output
Energy of formation, eV/atom: -0.06
Final energy, eV/cell: -34.2
Space group: F-43m (216)

[9]
Density functional theory data (PBE-GGA) for a geometry-optimized Y2MnGa3Ir4 structure.

Geometry as extended XYZ:
```
10
Lattice="-1.684 0.494 3.722 -2.357 -3.315 -0.626 7.627 -6.231 4.278" Properties=species:S:1:pos:R:3 pbc="T T T"
Y 0.987 -1.247 2.887
Y 4.620 -6.394 2.939
Mn 1.793 -4.525 3.687
Ga 3.814 -3.115 2.139
Ga 5.789 -5.169 5.580
Ga -0.182 -2.471 0.246
Ir -2.020 -1.410 1.548
Ir 0.000 0.000 0.000
Ir 4.042 -3.742 4.600
Ir 1.565 -3.899 1.226
```

Output
Energy of formation, eV/atom: -0.62
Final energy, eV/cell: -72.8
Space group: P-4m2 (115)

[10]
Density functional theory data (PBE-GGA) for a geometry-optimized GaMoIr3 structure.

Geometry as extended XYZ:
```
5
Lattice="4.491 0.000 0.000 0.000 4.491 0.000 0.000 0.000 4.491" Properties=species:S:1:pos:R:3 pbc="T T T"
Mo 2.245 2.245 2.245
Ir 0.000 2.245 0.000
Ir 0.000 0.000 2.245
Ir 2.245 0.000 0.000
Ga 0.000 0.000 0.000
```

Output
Energy of formation, eV/atom: 1.36
Final energy, eV/cell: -33.7
Energy above the most stable polymorph in this dataset, meV/atom: 0.0
Space group: Pm-3m (221)

[11]
Density functional theory data (PBE-GGA) for a geometry-optimized GaMoIr structure.

Geometry as extended XYZ:
```
6
Lattice="-1.469 2.726 3.342 -2.942 -3.459 -0.374 1.566 -2.929 4.255" Properties=species:S:1:pos:R:3 pbc="T T T"
Ga -2.507 -1.342 3.226
Ga -0.338 -2.320 3.996
Mo -2.502 -2.759 5.584
Mo -0.343 -0.903 1.639
Ir -1.836 1.184 2.415
Ir -2.574 -1.917 0.552
```

Output
Energy of formation, eV/atom: -0.04
Final energy, eV/cell: -45.7
Space group: C2/m (12)

[12]
Density functional theory data (PBE-GGA) for a geometry-optimized GaMo2Ir2 structure.

Geometry as extended XYZ:
```
5
Lattice="3.590 0.000 0.000 0.000 3.590 0.000 1.795 1.795 6.574" Properties=species:S:1:pos:R:3 pbc="T T T"
Mo 3.590 1.795 3.287
Mo 1.795 3.590 3.287
Ir 1.795 1.795 1.289
Ir 3.590 3.590 5.285
Ga 0.000 0.000 0.000
```

Output
Energy of formation, eV/atom: 0.26
Final energy, eV/cell: -41.1
Energy above the most stable polymorph in this dataset, meV/atom: 282.6
Space group: I4/mmm (139)

[13]
Density functional theory data (PBE-GGA) for a geometry-optimized GaMo3Ir structure.

Geometry as extended XYZ:
```
5
Lattice="-0.028 4.579 1.273 -1.423 1.206 -4.371 -4.534 -0.407 1.364" Properties=species:S:1:pos:R:3 pbc="T T T"
Mo -0.712 0.603 -2.185
Mo -2.267 -0.203 0.682
Mo -0.014 2.289 0.636
Ir 0.000 0.000 0.000
Ga -2.993 2.689 -0.867
```

Output
Energy of formation, eV/atom: 1.53
Final energy, eV/cell: -36.7
Energy above the most stable polymorph in this dataset, meV/atom: 0.0
Space group: Pm-3m (221)

[14]
Density functional theory data (PBE-GGA) for a geometry-optimized Ga2MoIr structure.

Geometry as extended XYZ:
```
8
Lattice="7.039 0.000 0.000 0.000 7.039 0.000 3.520 3.520 2.672" Properties=species:S:1:pos:R:3 pbc="T T T"
Mo 3.520 3.520 0.000
Mo 3.520 7.039 1.336
Ir 0.000 0.000 0.000
Ir 7.039 3.520 1.336
Ga 5.409 1.760 0.668
Ga 1.631 5.280 0.668
Ga 5.280 5.151 2.004
Ga 8.799 8.928 2.004
```

Output
Energy of formation, eV/atom: 0.28
Final energy, eV/cell: -49.3
Energy above the most stable polymorph in this dataset, meV/atom: 343.5
Space group: I-42d (122)

[15]
Density functional theory data (PBE-GGA) for a geometry-optimized GaMoIr2 structure.

Geometry as extended XYZ:
```
4
Lattice="-1.106 0.607 2.545 1.900 -1.714 1.235 4.608 5.590 0.669" Properties=species:S:1:pos:R:3 pbc="T T T"
Mo 2.701 2.242 2.225
Ir 3.493 4.238 0.507
Ir 1.114 1.352 0.162
Ga 0.397 -0.553 1.890
```

Output
Energy of formation, eV/atom: -0.37
Final energy, eV/cell: -33.1
Space group: P4/mmm (123)

[16]
Density functional theory data (PBE-GGA) for a geometry-optimized Ga2MoIr structure.

Geometry as extended XYZ:
```
4
Lattice="0.000 3.099 3.099 3.099 0.000 3.099 3.099 3.099 0.000" Properties=species:S:1:pos:R:3 pbc="T T T"
Mo 0.000 0.000 0.000
Ir 3.099 3.099 3.099
Ga 1.550 1.550 1.550
Ga 4.649 4.649 4.649
```

Output
Energy of formation, eV/atom: -0.06
Final energy, eV/cell: -26.0
Energy above the most stable polymorph in this dataset, meV/atom: 0.0
Space group: Fm-3m (225)

[17]
Density functional theory data (PBE-GGA) for a geometry-optimized Ga3MoIr structure.

Geometry as extended XYZ:
```
5
Lattice="-2.238 2.567 3.332 -3.587 -3.137 0.008 2.198 -2.504 3.406" Properties=species:S:1:pos:R:3 pbc="T T T"
Mo -1.813 -1.537 3.373
Ir 0.000 0.000 0.000
Ga -1.793 -1.568 0.004
Ga 1.099 -1.252 1.703
Ga -1.119 1.284 1.666
```

Output
Energy of formation, eV/atom: 0.61
Final energy, eV/cell: -25.7
Energy above the most stable polymorph in this dataset, meV/atom: 0.0
Space group: Pm-3m (221)

[18]
Density functional theory data (PBE-GGA) for a geometry-optimized GaMoIr structure.

Geometry as extended XYZ:
```
3
Lattice="2.857 0.000 0.000 0.000 2.857 0.000 -1.428 -1.428 5.478" Properties=species:S:1:pos:R:3 pbc="T T T"
Mo 0.000 0.000 0.030
Ir 1.428 1.428 1.837
Ga 0.000 0.000 3.611
```

Output
Energy of formation, eV/atom: -0.28
Final energy, eV/cell: -23.6
Space group: I4mm (107)

[19]
Density functional theory data (PBE-GGA) for a geometry-optimized GaMoIr structure.

Geometry as extended XYZ:
```
3
Lattice="2.789 0.000 0.000 0.000 4.315 0.000 0.000 -2.158 3.737" Properties=species:S:1:pos:R:3 pbc="T T T"
Mo 1.859 0.000 2.491
Ir 0.464 0.000 0.000
Ga 0.467 2.158 1.246
```

Output
Energy of formation, eV/atom: -0.25
Final energy, eV/cell: -23.5
Space group: P-6m2 (187)

[20]
Density functional theory data (PBE-GGA) for a geometry-optimized GaMo3Ir structure.

Geometry as extended XYZ:
```
5
Lattice="-2.686 3.602 -0.260 -1.524 -1.424 -3.988 -3.274 -2.292 2.069" Properties=species:S:1:pos:R:3 pbc="T T T"
Mo -0.762 -0.712 -1.994
Mo -1.637 -1.146 1.035
Mo -1.343 1.801 -0.130
Ir -3.742 -0.057 -1.089
Ga 0.000 0.000 0.000
```

Output
Energy of formation, eV/atom: 1.57
Final energy, eV/cell: -36.5
Energy above the most stable polymorph in this dataset, meV/atom: 40.4
Space group: Pm-3m (221)

[21]
Density functional theory data (PBE-GGA) for a geometry-optimized GaMoIr2 structure.

Geometry as extended XYZ:
```
8
Lattice="5.685 0.000 0.000 0.000 5.685 0.000 2.843 2.843 5.464" Properties=species:S:1:pos:R:3 pbc="T T T"
Mo 0.000 0.000 0.000
Mo 5.685 2.843 2.732
Ir 4.282 1.421 1.366
Ir 1.403 4.264 1.366
Ir 4.264 4.246 4.098
Ir 7.107 7.125 4.098
Ga 2.843 2.843 0.000
Ga 2.843 5.685 2.732
```

Output
Energy of formation, eV/atom: 0.60
Final energy, eV/cell: -58.4
Space group: I-42d (122)

[22]
Density functional theory data (PBE-GGA) for a geometry-optimized GaMo2Ir2 structure.

Geometry as extended XYZ:
```
10
Lattice="7.658 0.000 0.000 0.000 7.658 0.000 0.000 0.000 2.786" Properties=species:S:1:pos:R:3 pbc="T T T"
Mo 1.286 5.115 1.393
Mo 5.115 6.372 1.393
Mo 6.372 2.543 1.393
Mo 2.543 1.286 1.393
Ir 2.863 6.692 0.000
Ir 6.692 4.795 0.000
Ir 4.795 0.966 0.000
Ir 0.966 2.863 0.000
Ga 0.000 0.000 0.000
Ga 3.829 3.829 0.000
```

Output
Energy of formation, eV/atom: -0.02
Final energy, eV/cell: -85.1
Energy above the most stable polymorph in this dataset, meV/atom: 0.0
Space group: P4/mbm (127)

[23]
Density functional theory data (PBE-GGA) for a geometry-optimized GaMoIr3 structure.

Geometry as extended XYZ:
```
5
Lattice="-0.311 4.736 0.157 -0.809 0.102 -4.678 -4.669 -0.333 0.801" Properties=species:S:1:pos:R:3 pbc="T T T"
Mo 0.000 0.000 0.000
Ir -0.405 0.051 -2.339
Ir -2.335 -0.167 0.400
Ir -0.156 2.368 0.078
Ga -2.895 2.252 -1.860
```

Output
Energy of formation, eV/atom: 1.52
Final energy, eV/cell: -32.8
Energy above the most stable polymorph in this dataset, meV/atom: 168.5
Space group: Pm-3m (221)

[24]
Density functional theory data (PBE-GGA) for a geometry-optimized NbGaMoIr structure.

Geometry as extended XYZ:
```
4
Lattice="4.471 0.000 0.000 2.236 3.872 0.000 2.236 1.291 3.651" Properties=species:S:1:pos:R:3 pbc="T T T"
Mo 0.000 0.000 0.000
Ir 4.471 2.581 1.825
Nb 6.707 3.872 2.738
Ga 2.236 1.291 0.913
```

Output
Energy of formation, eV/atom: -0.23
Final energy, eV/cell: -33.7
Space group: F-43m (216)

[25]
Density functional theory data (PBE-GGA) for a geometry-optimized Ga2NiMoIr structure.

Geometry as extended XYZ:
```
5
Lattice="-1.110 -2.683 3.664 3.083 -3.437 -1.583 3.450 1.954 2.477" Properties=species:S:1:pos:R:3 pbc="T T T"
Ni 2.711 -2.083 2.279
Mo 1.541 -1.719 -0.791
Ir 0.000 0.000 0.000
Ga 1.725 0.977 1.238
Ga -0.555 -1.342 1.832
```

Output
Energy of formation, eV/atom: 0.91
Final energy, eV/cell: -27.0
Space group: P4/mmm (123)

[26]
Density functional theory data (PBE-GGA) for a geometry-optimized GaNi2MoIr structure.

Geometry as extended XYZ:
```
5
Lattice="4.247 0.000 0.000 0.000 4.555 0.000 0.000 0.000 4.247" Properties=species:S:1:pos:R:3 pbc="T T T"
Ni 0.000 0.000 2.124
Ni 2.124 0.000 0.000
Mo 2.124 2.277 2.124
Ir 0.000 2.277 0.000
Ga 0.000 0.000 0.000
```

Output
Energy of formation, eV/atom: 1.05
Final energy, eV/cell: -29.1
Space group: P4/mmm (123)